Record 1
Sr3P6N8O6 after structural relaxation, computed with PBE.

SG   P-3, No. 147
E_form (uncorrected)   -1581 meV per atom
Crystal system   trigonal
Raw total energy   -7.40 eV/atom

Structure (POSCAR):
```
Sr3P6N8O6
1.0
7.369 0.000 0.000
-3.684 6.381 0.000
0.000 0.000 6.119
Sr P N O
3 6 8 6
Cartesian
0.000 0.000 0.000
0.000 4.254 0.715
3.684 2.127 5.404
-0.164 2.543 3.730
-1.400 5.252 3.730
2.120 1.414 2.389
1.564 4.968 3.730
5.084 1.130 2.389
3.848 3.838 2.389
-1.016 2.113 2.424
-1.346 6.205 2.424
1.322 1.937 3.695
0.000 4.254 3.539
3.684 2.127 2.581
2.362 4.445 2.424
5.030 0.177 3.695
4.700 4.268 3.695
-0.775 2.324 5.128
-1.285 5.890 5.128
1.625 1.833 0.992
2.059 4.549 5.128
4.969 0.491 0.992
4.459 4.058 0.992
```

Record 2
Sr6P2NO after structural relaxation, computed with PBE.

SG   C2/m, No. 12
E_form (uncorrected)   -1151 meV per atom
Crystal system   monoclinic
Raw total energy   -4.57 eV/atom

Structure (POSCAR):
```
Sr6P2NO
1.0
6.175 -3.573 0.000
6.175 3.573 0.000
-4.094 0.000 5.829
Sr P N O
6 2 1 1
Cartesian
2.718 1.796 4.115
2.390 0.000 0.949
5.539 1.796 1.714
2.718 -1.796 4.115
5.867 0.000 4.880
5.539 -1.796 1.714
0.072 0.000 4.282
8.185 0.000 1.547
0.000 0.000 0.000
4.129 0.000 2.915
```

Record 3
SrP4N2O12 after structural relaxation, computed with PBE.

SG   I-4, No. 82
E_form (uncorrected)   -1797 meV per atom
Crystal system   tetragonal
Raw total energy   -7.03 eV/atom

Structure (POSCAR):
```
SrP4N2O12
1.0
-4.117 4.117 4.963
4.117 -4.117 4.963
4.117 4.117 -4.963
Sr P N O
1 4 2 12
Cartesian
0.000 0.000 0.000
2.893 -1.599 2.276
5.717 -1.224 2.687
2.518 1.224 2.687
5.342 1.599 2.276
0.000 4.117 1.925
0.000 4.117 3.038
4.411 -1.415 1.734
2.827 2.827 -3.137
1.528 1.949 -1.109
2.703 -0.294 3.230
6.285 1.528 1.109
1.291 1.290 1.826
3.823 1.415 1.734
5.532 0.294 3.230
2.589 2.168 3.855
5.407 2.827 3.137
-2.168 2.589 6.072
-1.290 1.291 8.100
```

Record 4
TaPN2O after structural relaxation, computed with PBE.

SG   P4/mmm, No. 123
E_form (uncorrected)   116 meV per atom
Crystal system   tetragonal
Raw total energy   -7.66 eV/atom

Structure (POSCAR):
```
TaPN2O
1.0
4.139 0.000 0.000
0.000 4.139 0.000
0.000 0.000 3.830
Ta P N O
1 1 2 1
Cartesian
0.000 0.000 0.000
2.070 2.070 1.915
0.000 2.070 0.000
2.070 0.000 0.000
0.000 0.000 1.915
```

Record 5
TaPN2O after structural relaxation, computed with PBE.

SG   P4/mmm, No. 123
E_form (uncorrected)   101 meV per atom
Crystal system   tetragonal
Raw total energy   -7.67 eV/atom

Structure (POSCAR):
```
TaPN2O
1.0
3.640 0.000 0.000
0.000 3.640 0.000
0.000 0.000 3.432
Ta P N O
1 1 2 1
Cartesian
0.000 0.000 0.000
1.820 1.820 1.716
0.000 1.820 1.716
1.820 0.000 1.716
1.820 1.820 0.000
```

Record 6
TcPNO2 after structural relaxation, computed with PBE.

SG   P4/mmm, No. 123
E_form (uncorrected)   147 meV per atom
Crystal system   tetragonal
Raw total energy   -6.66 eV/atom

Structure (POSCAR):
```
TcPNO2
1.0
3.496 0.000 0.000
0.000 3.496 0.000
0.000 0.000 3.950
Tc P N O
1 1 1 2
Cartesian
0.000 0.000 0.000
1.748 1.748 1.975
1.748 1.748 0.000
0.000 1.748 1.975
1.748 0.000 1.975
```

Record 7
TcPNO2 after structural relaxation, computed with PBE.

SG   P4/mmm, No. 123
E_form (uncorrected)   212 meV per atom
Crystal system   tetragonal
Raw total energy   -6.59 eV/atom

Structure (POSCAR):
```
TcPNO2
1.0
3.792 0.000 0.000
0.000 3.792 0.000
0.000 0.000 4.126
Tc P N O
1 1 1 2
Cartesian
0.000 0.000 0.000
1.896 1.896 2.063
0.000 0.000 2.063
0.000 1.896 0.000
1.896 0.000 0.000
```

Record 8
TcP2NO after structural relaxation, computed with PBE.

SG   P4/mmm, No. 123
ΔE to the lowest computed polymorph   26.4 kJ/mol of formula units
E_form (uncorrected)   974 meV per atom
Crystal system   tetragonal
Raw total energy   -5.92 eV/atom

Structure (POSCAR):
```
TcP2NO
1.0
4.643 0.000 0.000
0.000 4.643 0.000
0.000 0.000 3.655
Tc P N O
1 2 1 1
Cartesian
0.000 0.000 0.000
0.000 2.321 0.000
2.321 0.000 0.000
2.321 2.321 1.828
0.000 0.000 1.828
```

Record 9
TcPNO2 after structural relaxation, computed with PBE.

SG   P4/mmm, No. 123
E_form (uncorrected)   241 meV per atom
Crystal system   tetragonal
Raw total energy   -6.56 eV/atom

Structure (POSCAR):
```
TcPNO2
1.0
3.659 0.000 0.000
0.000 3.659 0.000
0.000 0.000 5.140
Tc P N O
1 1 1 2
Cartesian
0.000 0.000 0.000
0.000 0.000 2.570
1.829 1.829 2.570
0.000 1.829 0.000
1.829 0.000 0.000
```

Record 10
TcPNO2 after structural relaxation, computed with PBE.

SG   P4/mmm, No. 123
E_form (uncorrected)   1077 meV per atom
Crystal system   tetragonal
Raw total energy   -5.73 eV/atom

Structure (POSCAR):
```
TcPNO2
1.0
3.739 0.000 0.000
0.000 3.739 0.000
0.000 0.000 3.693
Tc P N O
1 1 1 2
Cartesian
0.000 0.000 0.000
1.870 1.870 0.000
1.870 1.870 1.847
0.000 1.870 1.847
1.870 0.000 1.847
```

Record 11
TcP2NO after structural relaxation, computed with PBE.

SG   P4/mmm, No. 123
ΔE to the lowest computed polymorph   0.0 kJ/mol of formula units
E_form (uncorrected)   919 meV per atom
Crystal system   tetragonal
Raw total energy   -5.97 eV/atom

Structure (POSCAR):
```
TcP2NO
1.0
3.815 0.000 0.000
0.000 3.815 0.000
0.000 0.000 3.814
Tc P N O
1 2 1 1
Cartesian
0.000 0.000 0.000
0.000 1.908 1.907
1.908 0.000 1.907
1.908 1.908 1.907
1.908 1.908 0.000
```

Record 12
Th2PNO after structural relaxation, computed with PBE.

SG   P3m1, No. 156
E_form (uncorrected)   -2318 meV per atom
Crystal system   trigonal
Raw total energy   -9.02 eV/atom

Structure (POSCAR):
```
Th2PNO
1.0
4.035 0.000 0.000
-2.017 3.494 0.000
0.000 0.000 6.870
Th P N O
2 1 1 1
Cartesian
0.000 0.000 0.000
0.000 2.329 3.067
2.017 1.165 5.025
0.000 0.000 2.363
0.000 2.329 0.630
```